A relaxed structure of TbCd3Ag, computed with PBE.

a b c (Å): 4.9423 6.6040 6.9625
angles (deg): 91.72 90.00 90.00
Sites, in units of the cell vectors:
Cd 0.8810 0.6325 0.8569
Cd 0.3810 0.3884 0.6967
Cd 0.8810 0.5560 0.4568
Cd 0.3810 0.0423 0.9492
Cd 0.3810 0.1187 0.3492
Cd 0.8810 0.2864 0.1094
Ag 0.3810 0.7920 0.6079
Ag 0.8810 0.8828 0.1982
Tb 0.8810 0.0773 0.6431
Tb 0.3810 0.5975 0.1630

## Properties
Calculated density = 8.83 g/cm³
Electronic total energy = -2.2404 eV/atom
Calculated formation energy = -0.195 eV per atom
Excess energy over the best structure of this formula in the dataset = 0 meV per atom